# BaFe2Mo

Crystalline BaFe2Mo at its relaxed geometry (PBEsol, the Alexandria database).

a = 4.1237 Å, b = 4.1237 Å, c = 17.6047 Å
α = 90.00°, β = 90.00°, γ = 120.00°
Space group R-3m (No. 166, hexagonal axes)
Inequivalent atoms, fractional coordinates:
Ba: 0.0000 0.0000 0.0000 (multiplicity 3)
Fe: 0.0000 0.0000 0.1897 (multiplicity 6)
Mo: 0.0000 0.0000 0.5000 (multiplicity 3)

Calculated values
Theoretical density in g/cm³: 6.63
Energy of formation from the pure elements in eV per atom: 0.590


# Cu2HgTe2

Crystalline Cu2HgTe2 at its relaxed geometry (PBEsol, the Alexandria database).

a = 5.148 Å, b = 5.148 Å, c = 8.174 Å
α = 90.00°, β = 90.00°, γ = 90.00°
Space group I4/mmm (No. 139)
Inequivalent atoms, fractional coordinates:
Cu: 0.000 0.000 0.165 (multiplicity 4)
Hg: 0.000 0.000 0.500 (multiplicity 2)
Te: 0.000 0.500 0.250 (multiplicity 4)

Calculated values
Theoretical density in g/cm³: 8.94
Uncorrected formation energy in eV/f.u.: 1.01


Q: What is the formula in the second record?
A: Cu2HgTe2